The following is a PBE calculation of crystalline Zr2BeAg at its relaxed geometry, from the Alexandria database.

Output
Fermi-level density of states, states/eV/atom: 1.281
E_tot, eV per atom: -5.75
Energy relative to the elements, eV/f.u.: 0.7
Space group: R-3m (166)

Cell lengths 8.599, 8.599, 8.599 Å; angles 21.75, 21.75, 21.75 degrees
Fractional positions:
Zr: 0.013 0.013 0.013
Ag: 0.250 0.250 0.250
Be: 0.750 0.750 0.750
Zr: 0.487 0.487 0.487